1.
Below is a relaxed structure of ZrAlPd2, with properties calculated at the PBE level.

## Properties
**Crystal system**: cubic
**Raw total energy**: -6.221 eV/atom
**Space group**: No. 216

The structure in extended XYZ format:
```
4
Lattice="0.000 3.224 3.224 3.224 0.000 3.224 3.224 3.224 0.000" Properties=species:S:1:pos:R:3 pbc="T T T"
Al 3.224 3.224 3.224
Pd 0.000 0.000 0.000
Pd 4.835 4.835 4.835
Zr 1.612 1.612 1.612
```

=====

2.
Below is a relaxed structure of ZrAlPd, with properties calculated at the PBE level.

## Properties
**Crystal system**: cubic
**Raw total energy**: -6.360 eV/atom
**Space group**: No. 216

The structure in extended XYZ format:
```
3
Lattice="0.000 3.114 3.114 3.114 0.000 3.114 3.114 3.114 0.000" Properties=species:S:1:pos:R:3 pbc="T T T"
Al 1.557 1.557 1.557
Pd 0.000 0.000 0.000
Zr 4.671 4.671 4.671
```

=====

3.
Below is a relaxed structure of Zr2AlPd3, with properties calculated at the PBE level.

## Properties
**Crystal system**: hexagonal
**Raw total energy**: -6.759 eV/atom
**Space group**: No. 194

The structure in extended XYZ format:
```
12
Lattice="5.388 0.000 0.000 -2.694 4.666 0.000 0.000 0.000 8.233" Properties=species:S:1:pos:R:3 pbc="T T T"
Al 0.000 0.000 0.000
Al 0.000 0.000 4.116
Pd 1.366 0.789 2.058
Pd 4.022 0.789 2.058
Pd 2.694 3.089 2.058
Pd 0.000 1.577 6.175
Pd -1.328 3.878 6.175
Pd 1.328 3.878 6.175
Zr 0.000 3.111 0.453
Zr 0.000 3.111 3.663
Zr 2.694 1.555 4.570
Zr 2.694 1.555 7.780
```

=====

4.
Below is a relaxed structure of Zr6Al16Pd7, with properties calculated at the PBE level.

## Properties
**Crystal system**: cubic
**Raw total energy**: -5.837 eV/atom
**Space group**: No. 225

The structure in extended XYZ format:
```
29
Lattice="-6.215 6.215 0.000 6.215 0.000 -6.215 -6.215 -6.215 0.000" Properties=species:S:1:pos:R:3 pbc="T T T"
Al 2.061 2.061 -4.154
Al -1.495 1.495 -1.495
Al -4.720 4.720 -1.495
Al -1.495 4.720 -4.720
Al -4.154 2.061 -2.061
Al 2.061 -2.061 -4.154
Al -2.061 2.061 -4.154
Al -1.495 -1.495 -1.495
Al -4.720 1.495 -4.720
Al -2.061 -2.061 -4.154
Al -4.154 -2.061 -2.061
Al -8.276 2.061 -2.061
Al -4.720 -4.720 -1.495
Al -1.495 -4.720 -4.720
Al -4.720 -1.495 -4.720
Al -8.276 -2.061 -2.061
Pd 0.000 0.000 0.000
Pd -3.108 3.108 0.000
Pd 3.108 0.000 -3.108
Pd 0.000 3.108 -3.108
Pd -3.108 -3.108 0.000
Pd 0.000 -3.108 -3.108
Pd -3.108 0.000 -3.108
Zr -6.215 2.322 0.000
Zr -3.893 0.000 0.000
Zr 0.000 0.000 -3.893
Zr -6.215 -2.322 0.000
Zr -6.215 0.000 -2.322
Zr -8.537 0.000 0.000
```

=====

5.
Below is a relaxed structure of Zr2Al2Pd, with properties calculated at the PBE level.

## Properties
**Crystal system**: tetragonal
**Raw total energy**: -6.583 eV/atom
**Space group**: No. 127

The structure in extended XYZ format:
```
10
Lattice="6.530 0.000 0.000 0.000 6.530 0.000 0.000 0.000 4.360" Properties=species:S:1:pos:R:3 pbc="T T T"
Al 4.179 0.915 0.000
Al 0.915 2.350 0.000
Al 5.615 4.179 0.000
Al 2.350 5.615 0.000
Pd 0.000 0.000 0.000
Pd 3.265 3.265 0.000
Zr 2.168 1.096 2.180
Zr 5.433 2.168 2.180
Zr 1.096 4.361 2.180
Zr 4.361 5.433 2.180
```

=====

6.
Below is a relaxed structure of ZrAlPd2, with properties calculated at the PBE level.

## Properties
**Crystal system**: orthorhombic
**Raw total energy**: -6.436 eV/atom
**Space group**: No. 62

The structure in extended XYZ format:
```
16
Lattice="-4.292 -1.219 3.062 4.242 -2.558 4.928 0.348 6.499 3.074" Properties=species:S:1:pos:R:3 pbc="T T T"
Al -0.393 -0.375 2.620
Al -0.317 -0.389 7.501
Al 0.615 3.111 3.562
Al 0.691 3.097 8.444
Pd -0.134 -0.905 5.081
Pd 1.574 -1.935 7.065
Pd -0.065 1.800 1.473
Pd 1.643 0.771 3.457
Pd -1.345 1.951 7.607
Pd 0.363 0.921 9.590
Pd -1.276 4.656 3.999
Pd 0.432 3.627 5.982
Zr 2.539 -1.816 4.302
Zr -1.585 1.524 4.632
Zr 1.883 1.198 6.431
Zr -2.241 4.538 6.761
```